The following is a DFT calculation (GGA-PBE) of Nd15YHo4 after structural relaxation.

The energy of formation comes out at 11 meV/atom. The value obtained for the total DFT energy (no corrections) is -96.08 eV/cell.

The structure belongs to space group P4/mmm (No. 123); the cell edges are 5.167, 5.167 and 25.710 Å and the angles 90.00°, 90.00° and 90.00°. Symmetry generates all atoms from Nd at (0.000, 0.000, 0.000), Nd at (0.000, 0.000, 0.200), Nd at (0.000, 0.000, 0.400), Nd at (0.000, 0.500, 0.100), Nd at (0.000, 0.500, 0.300), Nd at (0.000, 0.500, 0.500), Y at (0.500, 0.500, 0.000), Ho at (0.500, 0.500, 0.200) and Ho at (0.500, 0.500, 0.400).